w | Entry from Alexandria: a PBEsol-optimized structure of Re2BrCl (SCAN).

Results
For the size of the total moment, the calculation gives 0.00 μB per formula unit. The volume is 18.1 A^3/atom.

CIF file:
```
data_Re2BrCl
_cell_length_a 2.9239
_cell_length_b 3.9923
_cell_length_c 6.2158
_cell_angle_alpha 90.00
_cell_angle_beta 90.00
_cell_angle_gamma 90.00
_symmetry_space_group_name_H-M 'P m m m'
_symmetry_Int_Tables_number 47
_symmetry_space_group_name_Hall '-P 2 2'
loop_
_atom_site_label
_atom_site_type_symbol
_atom_site_fract_x
_atom_site_fract_y
_atom_site_fract_z
Re1 Re 0.0000 0.0000 0.1798
Br1 Br 0.5000 0.5000 0.5000
Cl1 Cl 0.5000 0.5000 0.0000
```

=====

x | Entry from Alexandria: a PBEsol-optimized structure of Re2BrCl (SCAN).

Results
For the size of the total moment, the calculation gives 0.00 μB per formula unit. The volume is 19.4 A^3/atom.

CIF file:
```
data_Re2BrCl
_cell_length_a 3.7139
_cell_length_b 4.3300
_cell_length_c 4.8324
_cell_angle_alpha 90.00
_cell_angle_beta 94.29
_cell_angle_gamma 90.00
_symmetry_space_group_name_H-M 'P 1 2/m 1'
_symmetry_Int_Tables_number 10
_symmetry_space_group_name_Hall '-P 2y'
loop_
_atom_site_label
_atom_site_type_symbol
_atom_site_fract_x
_atom_site_fract_y
_atom_site_fract_z
Re1 Re 0.2164 0.0000 0.3424
Br1 Br 0.0000 0.5000 0.0000
Cl1 Cl 0.5000 0.5000 0.5000
```

=====

y | Entry from Alexandria: a PBEsol-optimized structure of Re2BrCl (SCAN).

Results
For the size of the total moment, the calculation gives 0.00 μB per formula unit. The volume is 14.9 A^3/atom.

CIF file:
```
data_Re2BrCl
_cell_length_a 3.0915
_cell_length_b 3.0915
_cell_length_c 6.2322
_cell_angle_alpha 90.00
_cell_angle_beta 90.00
_cell_angle_gamma 90.00
_symmetry_space_group_name_H-M 'P 4/m m m'
_symmetry_Int_Tables_number 123
_symmetry_space_group_name_Hall '-P 4 2'
loop_
_atom_site_label
_atom_site_type_symbol
_atom_site_fract_x
_atom_site_fract_y
_atom_site_fract_z
Re1 Re 0.0000 0.0000 0.2286
Br1 Br 0.5000 0.5000 0.5000
Cl1 Cl 0.5000 0.5000 0.0000
```

=====

z | Entry from Alexandria: a PBEsol-optimized structure of Re2BrCl (SCAN).

Results
For the size of the total moment, the calculation gives 0.00 μB per formula unit. The volume is 22.4 A^3/atom.

CIF file:
```
data_Re2BrCl
_cell_length_a 6.0033
_cell_length_b 3.4279
_cell_length_c 8.6959
_cell_angle_alpha 90.00
_cell_angle_beta 90.19
_cell_angle_gamma 90.00
_symmetry_space_group_name_H-M 'C 1 m 1'
_symmetry_Int_Tables_number 8
_symmetry_space_group_name_Hall 'C -2y'
loop_
_atom_site_label
_atom_site_type_symbol
_atom_site_fract_x
_atom_site_fract_y
_atom_site_fract_z
Re1 Re 0.0000 0.0000 0.0000
Re2 Re 0.1608 0.5000 0.1561
Br1 Br 0.3165 0.0000 0.7779
Cl1 Cl 0.1510 0.5000 0.4143
```

=====

Stability, descending: z, x, w, y

=====

w | Entry from Alexandria: a PBEsol-optimized structure of Re2BrCl (SCAN).

Results
For the size of the total moment, the calculation gives 1.88 μB per formula unit. The volume is 16.1 A^3/atom.

CIF file:
```
data_Re2BrCl
_cell_length_a 2.7997
_cell_length_b 5.1981
_cell_length_c 8.8643
_cell_angle_alpha 90.00
_cell_angle_beta 90.00
_cell_angle_gamma 90.00
_symmetry_space_group_name_H-M 'C m m m'
_symmetry_Int_Tables_number 65
_symmetry_space_group_name_Hall '-C 2 2'
loop_
_atom_site_label
_atom_site_type_symbol
_atom_site_fract_x
_atom_site_fract_y
_atom_site_fract_z
Re1 Re 0.0000 0.0000 0.2425
Br1 Br 0.0000 0.5000 0.5000
Cl1 Cl 0.0000 0.5000 0.0000
```

=====

x | Entry from Alexandria: a PBEsol-optimized structure of Re2BrCl (SCAN).

Results
For the size of the total moment, the calculation gives 0.00 μB per formula unit. The volume is 18.2 A^3/atom.

CIF file:
```
data_Re2BrCl
_cell_length_a 2.9392
_cell_length_b 2.9392
_cell_length_c 8.4352
_cell_angle_alpha 90.00
_cell_angle_beta 90.00
_cell_angle_gamma 90.00
_symmetry_space_group_name_H-M 'P 4 m m'
_symmetry_Int_Tables_number 99
_symmetry_space_group_name_Hall 'P 4 -2'
loop_
_atom_site_label
_atom_site_type_symbol
_atom_site_fract_x
_atom_site_fract_y
_atom_site_fract_z
Re1 Re 0.0000 0.0000 0.0000
Re2 Re 0.5000 0.5000 0.1920
Br1 Br 0.0000 0.0000 0.4114
Cl1 Cl 0.5000 0.5000 0.7970
```

=====

Stability, descending: x, w